# 1
An optimized crystal structure of CaC. Source: Alexandria via LeMat-Bulk, functional PBE-GGA.

Values from the calculation:
- energy relative to the lowest polymorph listed for this composition (meV/atom) = 1232.1
- ΔH_f (0 K) (eV per atom) = 1.231

Cell lengths 3.667, 3.667, 3.103 Å; angles 90.00, 90.00, 120.00 degrees
Sites, in units of the cell vectors:
1 Ca 0.000 0.000 0.000
2 C 0.333 0.667 0.500

=====

# 2
An optimized crystal structure of CaC2. Source: Alexandria via LeMat-Bulk, functional PBE-GGA.

Values from the calculation:
- energy relative to the lowest polymorph listed for this composition (meV/atom) = 254.2
- ΔH_f (0 K) (eV per atom) = 0.269

Cell lengths 4.053, 4.053, 3.331 Å; angles 90.00, 90.00, 141.78 degrees
Sites, in units of the cell vectors:
1 Ca 0.000 0.000 0.000
2 C 0.289 0.711 0.500
3 C 0.711 0.289 0.500

=====

# 3
An optimized crystal structure of CaC. Source: Alexandria via LeMat-Bulk, functional PBE-GGA.

Values from the calculation:
- energy relative to the lowest polymorph listed for this composition (meV/atom) = 887.4
- ΔH_f (0 K) (eV per atom) = 0.886

Cell lengths 3.223, 3.223, 14.178 Å; angles 90.00, 90.00, 120.00 degrees
Sites, in units of the cell vectors:
1 Ca 0.333 0.667 0.123
2 Ca 0.333 0.667 0.377
3 Ca 0.667 0.333 0.623
4 Ca 0.667 0.333 0.877
5 C 0.000 0.000 0.250
6 C 0.000 0.000 0.750
7 C 0.333 0.667 0.750
8 C 0.667 0.333 0.250

=====

# 4
An optimized crystal structure of Ca4C. Source: Alexandria via LeMat-Bulk, functional PBE-GGA.

Values from the calculation:
- energy relative to the lowest polymorph listed for this composition (meV/atom) = 84.7
- ΔH_f (0 K) (eV per atom) = 0.339

Cell lengths 6.729, 6.729, 6.729 Å; angles 93.54, 93.54, 151.20 degrees
Sites, in units of the cell vectors:
1 Ca 0.043 0.773 0.816
2 Ca 0.227 0.043 0.270
3 Ca 0.773 0.957 0.730
4 Ca 0.957 0.227 0.184
5 C 0.500 0.500 0.000

=====

# 5
An optimized crystal structure of CaC. Source: Alexandria via LeMat-Bulk, functional PBE-GGA.

Values from the calculation:
- energy relative to the lowest polymorph listed for this composition (meV/atom) = 93.5
- ΔH_f (0 K) (eV per atom) = 0.093

Cell lengths 6.991, 6.637, 5.954 Å; angles 67.20, 61.07, 51.73 degrees
Sites, in units of the cell vectors:
1 Ca 0.114 0.114 0.636
2 Ca 0.364 0.364 0.886
3 Ca 0.636 0.636 0.114
4 Ca 0.886 0.886 0.364
5 C 0.054 0.196 0.054
6 C 0.196 0.054 0.196
7 C 0.804 0.946 0.804
8 C 0.946 0.804 0.946

=====

# 6
An optimized crystal structure of CaC2. Source: Alexandria via LeMat-Bulk, functional PBE-GGA.

Values from the calculation:
- energy relative to the lowest polymorph listed for this composition (meV/atom) = 376.6
- ΔH_f (0 K) (eV per atom) = 0.391

Cell lengths 7.228, 7.228, 2.673 Å; angles 90.00, 90.00, 120.00 degrees
Sites, in units of the cell vectors:
1 Ca 0.000 0.000 0.000
2 Ca 0.333 0.667 0.500
3 Ca 0.667 0.333 0.500
4 C 0.000 0.291 0.500
5 C 0.000 0.372 0.000
6 C 0.291 0.000 0.500
7 C 0.372 0.000 0.000
8 C 0.628 0.628 0.000
9 C 0.709 0.709 0.500

=====

> Number 6 is which compound?

CaC2